## V2CdCoO6 (PBE with a Hubbard U)

Data for V2CdCoO6 after structural relaxation.

Mass density (g/cm3): 4.9
Total energy (eV/atom): -6.65

Lattice parameters (Å, degrees): 7.113 7.113 5.605 108.50 108.50 75.40
Fractional positions:
V 0.135 0.344 0.357
V 0.344 0.135 0.857
V 0.656 0.865 0.143
V 0.865 0.656 0.643
Cd 0.191 0.809 0.250
Cd 0.809 0.191 0.750
Co 0.428 0.572 0.750
Co 0.572 0.428 0.250
O 0.127 0.179 0.996
O 0.133 0.545 0.718
O 0.179 0.127 0.496
O 0.298 0.506 0.347
O 0.455 0.867 0.782
O 0.494 0.702 0.153
O 0.506 0.298 0.847
O 0.545 0.133 0.218
O 0.702 0.494 0.653
O 0.821 0.873 0.504
O 0.867 0.455 0.282
O 0.873 0.821 0.004